[1]
Below is crystalline Pm2WN6 at its relaxed geometry, with properties calculated at the PBE-GGA level.

Unit cell a=3.7528 b=5.9438 c=6.0206 alpha=119.58 beta=93.68 gamma=90.00
Atoms (fractional coordinates):
N 0.1912 0.3663 0.2613
N 0.8088 0.1050 0.7387
N 0.8088 0.6337 0.7387
N 0.1912 0.8950 0.2613
N 0.5000 0.8038 0.0000
N 0.5000 0.1962 0.0000
Pm 0.2867 0.3264 0.6527
Pm 0.7133 0.6736 0.3473
W 0.0000 0.0000 0.0000

## Properties
Its energy is -8.070 eV/atom.

***

[2]
Below is crystalline LaTc5P3 at its relaxed geometry, with properties calculated at the PBE-GGA level.

Unit cell a=4.0359 b=6.6749 c=11.5706 alpha=90.00 beta=90.00 gamma=107.60
Atoms (fractional coordinates):
Tc 0.4580 0.9160 0.1462
Tc 0.0000 0.0000 0.0000
Tc 0.5420 0.0840 0.6462
Tc 0.1929 0.3858 0.9383
Tc 0.5420 0.0840 0.8538
Tc 0.8071 0.6142 0.4383
Tc 0.8071 0.6142 0.0617
Tc 0.4580 0.9160 0.3538
Tc 0.0000 0.0000 0.5000
Tc 0.1929 0.3858 0.5617
P 0.3736 0.7471 0.5469
P 0.6264 0.2529 0.4531
P 0.1236 0.2471 0.7500
P 0.6264 0.2529 0.0469
P 0.8764 0.7529 0.2500
P 0.3736 0.7471 0.9531
La 0.8275 0.6550 0.7500
La 0.1725 0.3450 0.2500

## Properties
The value obtained for the energy of formation from the pure elements is -0.503 eV per atom. Its energy is -8.613 eV/atom.

***

[3]
Below is crystalline K2LaCu at its relaxed geometry, with properties calculated at the PBE-GGA level.

Unit cell a=7.6476 b=7.6476 c=4.1615 alpha=74.94 beta=74.94 gamma=129.88
Atoms (fractional coordinates):
La 0.5000 0.0000 0.5000
K 0.0000 0.0000 0.0000
K 0.5000 0.5000 0.0000
Cu 0.0000 0.5000 0.5000

## Properties
The value obtained for the energy above the most stable polymorph in this dataset is 383 meV per atom. The value obtained for the energy of formation from the pure elements is 0.544 eV per atom. Its energy is -2.260 eV/atom.

***

[4]
Below is crystalline ZrH3Pt at its relaxed geometry, with properties calculated at the PBE-GGA level.

Unit cell a=3.6046 b=3.6046 c=3.6046 alpha=90.00 beta=90.00 gamma=90.00
Atoms (fractional coordinates):
Zr 0.5000 0.5000 0.5000
H 0.0000 0.5000 0.0000
H 0.0000 0.0000 0.5000
H 0.5000 0.0000 0.0000
Pt 0.0000 0.0000 0.0000

## Properties
Its energy is -5.161 eV/atom.

***

[5]
Below is crystalline SbP2PbN at its relaxed geometry, with properties calculated at the PBE-GGA level.

Unit cell a=5.1807 b=4.0508 c=5.1807 alpha=90.00 beta=90.00 gamma=90.00
Each line ends with the local moment (μB).
Atoms (fractional coordinates):
P 0.0000 0.0000 0.5000  0.06
P 0.5000 0.0000 0.0000  0.07
N 0.0000 0.5000 0.0000  0.35
Sb 0.0000 0.0000 0.0000  -0.02
Pb 0.5000 0.5000 0.5000  0.00

## Properties
Its energy is -4.404 eV/atom.

***

[6]
Below is crystalline CaCoTe2I at its relaxed geometry, with properties calculated at the PBE-GGA level.

Unit cell a=6.0250 b=5.6633 c=6.0250 alpha=90.00 beta=90.00 gamma=90.00
Each line ends with the local moment (μB).
Atoms (fractional coordinates):
I 0.0000 0.0000 0.0000  -0.01
Co 0.5000 0.5000 0.5000  2.33
Te 0.0000 0.0000 0.5000  0.05
Te 0.5000 0.0000 0.0000  0.06
Ca 0.0000 0.5000 0.0000  -0.01

## Properties
The value obtained for the energy above the most stable polymorph in this dataset is 1160 meV per atom. Its energy is -2.516 eV/atom.

***

[7]
Below is crystalline KZr2NbO8 at its relaxed geometry, with properties calculated at the PBE-GGA level.

Unit cell a=4.8299 b=4.8285 c=7.4306 alpha=87.50 beta=87.51 gamma=89.06
Atoms (fractional coordinates):
O 0.1717 0.7672 0.1956
O 0.7007 0.7008 0.9816
O 0.8283 0.2328 0.8044
O 0.2327 0.8282 0.8044
O 0.6097 0.6098 0.4891
O 0.3903 0.3902 0.5109
O 0.7673 0.1718 0.1956
O 0.2993 0.2992 0.0184
Zr 0.5241 0.5241 0.2126
Zr 0.4759 0.4759 0.7874
Nb 0.0000 0.0000 0.0000
K 0.0000 0.0000 0.5000

## Properties
Its energy is -8.126 eV/atom.

***

[8]
Below is crystalline KPt3 at its relaxed geometry, with properties calculated at the PBE-GGA level.

Unit cell a=5.5394 b=5.5394 c=5.5394 alpha=117.29 beta=117.29 gamma=117.29
Atoms (fractional coordinates):
K 0.0000 0.0000 0.0000
Pt 0.5000 0.0000 0.5000
Pt 0.0000 0.5000 0.5000
Pt 0.5000 0.5000 0.0000

## Properties
The value obtained for the energy above the most stable polymorph in this dataset is 458 meV per atom. The value obtained for the energy of formation from the pure elements is 0.307 eV per atom. Its energy is -4.498 eV/atom.

***

[9]
Below is crystalline LiTm3Pt3 at its relaxed geometry, with properties calculated at the PBE-GGA level.

Unit cell a=6.7187 b=6.7187 c=6.6692 alpha=90.01 beta=90.01 gamma=90.10
Atoms (fractional coordinates):
Tm 0.2517 0.2517 0.5010
Tm 0.2561 0.7439 0.0000
Tm 0.7591 0.2409 0.5000
Tm 0.7483 0.7483 0.4990
Tm 0.7439 0.2561 0.0000
Tm 0.2409 0.7591 0.5000
Li 0.7680 0.7680 0.9998
Li 0.2320 0.2320 0.0002
Pt 0.9997 0.5004 0.7533
Pt 0.0003 0.4996 0.2467
Pt 0.4996 0.0003 0.2467
Pt 0.0004 0.0004 0.2429
Pt 0.9996 0.9996 0.7571
Pt 0.5004 0.9997 0.7533

## Properties
The value obtained for the energy of formation from the pure elements is -0.963 eV per atom. Its energy is -5.741 eV/atom.

***

[10]
Below is crystalline LiErSc2Zn4 at its relaxed geometry, with properties calculated at the PBE-GGA level.

Unit cell a=4.7085 b=4.7085 c=8.3805 alpha=73.68 beta=73.68 gamma=60.00
Atoms (fractional coordinates):
Sc 0.7553 0.7553 0.7342
Sc 0.2447 0.2447 0.2658
Zn 0.8741 0.8741 0.3777
Zn 0.1259 0.1259 0.6223
Zn 0.3847 0.3847 0.8459
Zn 0.6153 0.6153 0.1541
Li 0.5000 0.5000 0.5000
Er 0.0000 0.0000 0.0000

## Properties
The value obtained for the energy of formation from the pure elements is -0.277 eV per atom. Its energy is -3.307 eV/atom.

***

[11]
Below is crystalline CdTe2As at its relaxed geometry, with properties calculated at the PBE-GGA level.

Unit cell a=3.3910 b=3.3910 c=9.7148 alpha=90.00 beta=90.00 gamma=108.44
Atoms (fractional coordinates):
Cd 0.5000 0.5000 0.7269
As 0.0000 0.0000 0.5160
Te 0.5000 0.5000 0.2958
Te 0.0000 0.0000 0.9614

## Properties
The value obtained for the energy above the most stable polymorph in this dataset is 323 meV per atom. Its energy is -2.721 eV/atom.

***

[12]
Below is crystalline PaIrAuO6 at its relaxed geometry, with properties calculated at the PBE-GGA level.

Unit cell a=5.4735 b=5.4735 c=9.4444 alpha=90.00 beta=90.00 gamma=120.00
Atoms (fractional coordinates):
O 0.3668 0.0239 0.1333
O 0.9761 0.6332 0.3667
O 0.6572 0.6332 0.1333
O 0.6572 0.0239 0.3667
O 0.3428 0.9761 0.6333
O 0.3668 0.3428 0.3667
O 0.0239 0.3668 0.6333
O 0.6332 0.6572 0.6333
O 0.9761 0.3428 0.1333
O 0.6332 0.9761 0.8667
O 0.0239 0.6572 0.8667
O 0.3428 0.3668 0.8667
Pa 0.3333 0.6667 0.2500
Pa 0.6667 0.3333 0.7500
Au 0.0000 0.0000 0.0000
Au 0.0000 0.0000 0.5000
Ir 0.3333 0.6667 0.7500
Ir 0.6667 0.3333 0.2500

## Properties
Its energy is -7.210 eV/atom.